{"formula": "CdInHg2", "functional": "GGA-PBE", "state": "optimized geometry", "dft_energy_ev_per_atom": -1.05, "delta_e_f_ev_per_atom": 0.02, "lattice_angstrom": [[5.256, -1.665, 0.000], [5.256, 1.665, 0.000], [-1.349, 0.000, 5.835]], "species": ["Cd", "In", "Hg", "Hg"], "frac_coords": [[0.000, 0.000, 0.000], [0.500, 0.500, 0.500], [0.254, 0.254, 0.757], [0.746, 0.746, 0.243]]}

{"formula": "Tb5Cu2Hg2", "functional": "GGA-PBE", "state": "optimized geometry", "dft_energy_ev_per_atom": -3.82, "delta_e_f_ev_per_atom": -0.27, "lattice_angstrom": [[8.529, -3.660, 0.000], [8.529, 3.660, 0.000], [0.000, 0.000, 7.325]], "species": ["Tb", "Tb", "Tb", "Tb", "Tb", "Tb", "Tb", "Tb", "Tb", "Tb", "Cu", "Cu", "Cu", "Cu", "Hg", "Hg", "Hg", "Hg"], "frac_coords": [[0.000, 0.000, 0.000], [0.049, 0.691, 0.674], [0.191, 0.549, 0.174], [0.309, 0.951, 0.674], [0.451, 0.809, 0.174], [0.500, 0.500, 0.500], [0.549, 0.191, 0.826], [0.691, 0.049, 0.326], [0.809, 0.451, 0.826], [0.951, 0.309, 0.326], [0.121, 0.879, 0.378], [0.379, 0.621, 0.878], [0.621, 0.379, 0.122], [0.879, 0.121, 0.622], [0.222, 0.222, 0.000], [0.278, 0.278, 0.500], [0.722, 0.722, 0.500], [0.778, 0.778, 0.000]]}

{"formula": "NaTlS4", "functional": "GGA-PBE", "state": "optimized geometry", "dft_energy_ev_per_atom": -3.62, "formation_energy_uncorrected_mev_per_atom": -251.9, "lattice_angstrom": [[-2.860, 2.860, 11.649], [2.860, -2.860, 11.649], [2.860, 2.860, -11.649]], "species": ["Na", "Na", "Tl", "Tl", "S", "S", "S", "S", "S", "S", "S", "S"], "frac_coords": [[0.375, 0.125, 0.250], [0.625, 0.875, 0.750], [0.125, 0.375, 0.750], [0.875, 0.625, 0.250], [0.072, 0.807, 0.997], [0.307, 0.810, 0.736], [0.310, 0.074, 0.503], [0.426, 0.428, 0.236], [0.574, 0.572, 0.764], [0.690, 0.926, 0.497], [0.693, 0.190, 0.264], [0.928, 0.193, 0.003]]}

{"formula": "Ga2Ni", "functional": "GGA-PBE", "state": "optimized geometry", "dft_energy_ev_per_atom": -4.15, "delta_e_f_ev_per_atom": -0.20, "lattice_angstrom": [[0.000, 2.322, 3.907], [2.315, 0.000, 3.907], [2.315, 2.322, 0.000]], "species": ["Ga", "Ga", "Ni"], "frac_coords": [[0.162, 0.162, 0.838], [0.838, 0.838, 0.162], [0.500, 0.500, 0.500]]}

{"formula": "NaDy6S8", "functional": "GGA-PBE", "state": "optimized geometry", "dft_energy_ev_per_atom": -6.11, "formation_energy_uncorrected_mev_per_atom": -1979.7, "lattice_angstrom": [[0.000, 5.510, 5.510], [5.510, 0.000, 5.510], [5.510, 5.510, 0.000]], "species": ["Na", "Dy", "Dy", "Dy", "Dy", "Dy", "Dy", "S", "S", "S", "S", "S", "S", "S", "S"], "frac_coords": [[0.000, 0.000, 0.000], [0.000, 0.000, 0.500], [0.000, 0.500, 0.000], [0.000, 0.500, 0.500], [0.500, 0.000, 0.000], [0.500, 0.000, 0.500], [0.500, 0.500, 0.000], [0.250, 0.250, 0.250], [0.253, 0.253, 0.747], [0.253, 0.747, 0.253], [0.253, 0.747, 0.747], [0.747, 0.253, 0.253], [0.747, 0.253, 0.747], [0.747, 0.747, 0.253], [0.750, 0.750, 0.750]]}

{"formula": "YIn2BiH", "functional": "GGA-PBE", "state": "optimized geometry", "dft_energy_ev_per_atom": -4.01, "lattice_angstrom": [[4.995, 0.000, 0.000], [0.000, 4.995, 0.000], [0.000, 0.000, 4.554]], "species": ["Y", "In", "In", "Bi", "H"], "frac_coords": [[0.000, 0.000, 0.000], [0.000, 0.500, 0.500], [0.500, 0.000, 0.500], [0.500, 0.500, 0.000], [0.000, 0.000, 0.500]]}

{"formula": "CdPd3Au6", "functional": "GGA-PBE", "state": "optimized geometry", "dft_energy_ev_per_atom": -3.74, "delta_e_f_ev_per_atom": -0.13, "lattice_angstrom": [[4.993, 0.000, 0.000], [-1.544, 7.511, 0.000], [-1.486, -3.809, 9.263]], "species": ["Cd", "Cd", "Pd", "Pd", "Pd", "Pd", "Pd", "Pd", "Au", "Au", "Au", "Au", "Au", "Au", "Au", "Au", "Au", "Au", "Au", "Au"], "frac_coords": [[0.239, 0.345, 0.397], [0.761, 0.655, 0.603], [0.247, 0.748, 0.999], [0.249, 0.151, 0.600], [0.250, 0.550, 0.200], [0.750, 0.450, 0.800], [0.751, 0.849, 0.400], [0.753, 0.252, 0.001], [0.244, 0.943, 0.298], [0.247, 0.151, 0.097], [0.251, 0.354, 0.902], [0.254, 0.546, 0.704], [0.256, 0.754, 0.497], [0.260, 0.953, 0.801], [0.740, 0.047, 0.199], [0.744, 0.246, 0.503], [0.746, 0.454, 0.296], [0.749, 0.646, 0.098], [0.753, 0.849, 0.903], [0.756, 0.057, 0.702]]}

{"formula": "Na2MnMoN4", "functional": "GGA-PBE", "state": "optimized geometry", "dft_energy_ev_per_atom": -7.28, "formation_energy_uncorrected_mev_per_atom": -286.5, "lattice_angstrom": [[6.419, 0.000, 0.000], [0.000, 6.054, 0.000], [0.000, 0.000, 5.789]], "species": ["Na", "Na", "Na", "Na", "Mn", "Mn", "Mo", "Mo", "N", "N", "N", "N", "N", "N", "N", "N"], "frac_coords": [[0.248, 0.229, 0.000], [0.252, 0.771, 0.500], [0.748, 0.771, 0.500], [0.752, 0.229, 0.000], [0.000, 0.685, 0.999], [0.500, 0.315, 0.499], [0.000, 0.324, 0.499], [0.500, 0.676, 0.999], [0.000, 0.503, 0.762], [0.000, 0.504, 0.238], [0.240, 0.834, 0.998], [0.260, 0.166, 0.498], [0.500, 0.496, 0.738], [0.500, 0.497, 0.262], [0.740, 0.166, 0.498], [0.760, 0.834, 0.998]]}

{"formula": "Tm6SeO12", "functional": "GGA-PBE", "state": "optimized geometry", "dft_energy_ev_per_atom": -7.78, "formation_energy_uncorrected_mev_per_atom": -3055.3, "lattice_angstrom": [[4.795, 2.768, 3.069], [-4.795, 2.768, 3.069], [0.000, -5.537, 3.069]], "species": ["Tm", "Tm", "Tm", "Tm", "Tm", "Tm", "Se", "O", "O", "O", "O", "O", "O", "O", "O", "O", "O", "O", "O"], "frac_coords": [[0.112, 0.813, 0.645], [0.187, 0.355, 0.888], [0.355, 0.888, 0.187], [0.645, 0.112, 0.813], [0.813, 0.645, 0.112], [0.888, 0.187, 0.355], [0.500, 0.500, 0.500], [0.065, 0.905, 0.323], [0.095, 0.677, 0.935], [0.210, 0.434, 0.529], [0.323, 0.065, 0.905], [0.434, 0.529, 0.210], [0.471, 0.790, 0.566], [0.529, 0.210, 0.434], [0.566, 0.471, 0.790], [0.677, 0.935, 0.095], [0.790, 0.566, 0.471], [0.905, 0.323, 0.065], [0.935, 0.095, 0.677]]}

{"formula": "Tb2Pr2Sm4Y", "functional": "GGA-PBE", "state": "optimized geometry", "dft_energy_ev_per_atom": -4.90, "delta_e_f_ev_per_atom": 0.00, "lattice_angstrom": [[9.489, -1.832, 0.000], [9.489, 1.832, 0.000], [-4.213, 0.000, 8.765]], "species": ["Tb", "Tb", "Pr", "Pr", "Sm", "Sm", "Sm", "Sm", "Y"], "frac_coords": [[0.147, 0.147, 0.165], [0.853, 0.853, 0.835], [0.334, 0.334, 0.502], [0.666, 0.666, 0.498], [0.186, 0.186, 0.835], [0.481, 0.481, 0.165], [0.519, 0.519, 0.835], [0.814, 0.814, 0.165], [0.000, 0.000, 0.500]]}

{"formula": "Na2TaPbBr", "functional": "GGA-PBE", "state": "optimized geometry", "dft_energy_ev_per_atom": -3.25, "formation_energy_uncorrected_mev_per_atom": 721.4, "lattice_angstrom": [[4.993, 0.000, 0.000], [0.000, 4.993, 0.000], [0.000, 0.000, 6.291]], "species": ["Na", "Na", "Ta", "Pb", "Br"], "frac_coords": [[0.000, 0.500, 0.000], [0.500, 0.000, 0.000], [0.000, 0.000, 0.500], [0.500, 0.500, 0.500], [0.500, 0.500, 0.000]]}

{"formula": "Tm2GaCu2Ni5", "functional": "GGA-PBE", "state": "optimized geometry", "dft_energy_ev_per_atom": -5.25, "delta_e_f_ev_per_atom": -0.34, "lattice_angstrom": [[8.892, 0.000, 0.000], [0.000, 8.892, 0.000], [0.000, 0.000, 3.624]], "species": ["Tm", "Tm", "Tm", "Tm", "Ga", "Ga", "Cu", "Cu", "Cu", "Cu", "Ni", "Ni", "Ni", "Ni", "Ni", "Ni", "Ni", "Ni", "Ni", "Ni"], "frac_coords": [[0.177, 0.323, 0.000], [0.323, 0.823, 0.000], [0.677, 0.177, 0.000], [0.823, 0.677, 0.000], [0.000, 0.000, 0.000], [0.500, 0.500, 0.000], [0.120, 0.620, 0.000], [0.380, 0.120, 0.000], [0.620, 0.880, 0.000], [0.880, 0.380, 0.000], [0.000, 0.500, 0.500], [0.061, 0.797, 0.500], [0.203, 0.061, 0.500], [0.297, 0.561, 0.500], [0.439, 0.297, 0.500], [0.500, 0.000, 0.500], [0.561, 0.703, 0.500], [0.703, 0.439, 0.500], [0.797, 0.939, 0.500], [0.939, 0.203, 0.500]]}